1.
Here is a relaxed structure of La5NdInHg2 from Alexandria. Energies are from PBE.

Geometry as POSCAR:
```
La5NdInHg2
1.0
7.8468 0.0000 0.0000
0.0000 7.8468 0.0000
-3.9234 -3.9234 9.8677
La In Hg Nd
10 2 4 2
Direct
0.5000 0.5000 0.0000
0.9219 0.4219 0.2702
0.1518 0.0781 0.7298
0.4219 0.3482 0.2702
0.6518 0.1518 0.7298
0.8482 0.9219 0.2702
0.0781 0.5781 0.7298
0.3482 0.8482 0.2702
0.0000 0.0000 0.0000
0.5781 0.6518 0.7298
0.2500 0.7500 0.5000
0.7500 0.2500 0.5000
0.6237 0.1237 0.0000
0.1237 0.3763 0.0000
0.8763 0.6237 0.0000
0.3763 0.8763 0.0000
0.7500 0.7500 0.5000
0.2500 0.2500 0.5000
```

Properties
* formation enthalpy at 0 K: -0.21 eV per atom
* DOS at the Fermi energy: 1.365 states/eV/atom
* space-group type: I4/mcm
* final energy: -3.85 eV/atom

***

2.
Here is a relaxed structure of LaInNiHg from Alexandria. Energies are from PBE.

Geometry as POSCAR:
```
LaInNiHg
1.0
-2.8774 0.1121 4.1543
-3.4420 -3.6168 0.7888
0.7125 -3.4120 3.6608
In La Hg Ni
1 1 1 1
Direct
0.2500 0.2500 0.2500
0.7500 0.7500 0.7500
0.5000 0.5000 0.5000
0.0000 0.0000 0.0000
```

Properties
* formation enthalpy at 0 K: -0.27 eV per atom
* DOS at the Fermi energy: 0.831 states/eV/atom
* space-group type: F-43m
* final energy: -3.70 eV/atom

***

3.
Here is a relaxed structure of LaInNiHg2 from Alexandria. Energies are from PBE.

Geometry as POSCAR:
```
LaInNiHg2
1.0
5.0250 0.0000 0.0000
0.0000 4.9255 0.0000
0.0000 0.0000 5.0250
La Hg In Ni
1 2 1 1
Direct
0.5000 0.5000 0.5000
0.5000 0.0000 0.0000
0.0000 0.0000 0.5000
0.0000 0.5000 0.0000
0.0000 0.0000 0.0000
```

Properties
* formation enthalpy at 0 K: -0.21 eV per atom
* DOS at the Fermi energy: 0.711 states/eV/atom
* space-group type: P4/mmm
* final energy: -3.02 eV/atom